YMnF3 | PBE+U | relaxed

Lattice parameters (Å, degrees): 4.3117 4.3117 4.3117 90.00 90.00 90.00
Element x y z (fractional)
Y1 0.5000 0.5000 0.5000
F1 0.5000 0.0000 0.0000
F2 0.0000 0.5000 0.0000
F3 0.0000 0.0000 0.5000
Mn1 0.0000 0.0000 0.0000

Excess energy over the best structure of this formula in the dataset, meV per atom: 563.8
Density of states at the Fermi level, states/eV/cell: 3.069
Space-group type: Pm-3m (221)
E, eV per atom: -5.952
Crystal system: cubic